{
  "formula": "Si2WClF",
  "functional": "GGA+U",
  "state": "relaxed",
  "crystal_system": "tetragonal",
  "dft_energy_ev_per_atom": -3.61,
  "sg": "P4/mmm",
  "cell": [[5.068, 0.000, 0.000], [0.000, 4.193, 0.000], [0.000, 0.000, 5.068]],
  "species": ["W", "Si", "Cl", "Si", "F"],
  "fractional_positions": [[0.000, 0.500, 0.000], [0.500, 0.000, 0.000], [0.500, 0.500, 0.500], [0.000, 0.000, 0.500], [0.000, 0.000, 0.000]]
}